No. 1
Computed, not measured: a relaxed structure of Ta2CrP at the GGA-PBE level of DFT.

Computed properties:
total energy: -9.80 eV per atom

a = 4.874 Å, b = 4.874 Å, c = 4.874 Å
α = 139.73°, β = 124.07°, γ = 71.14°
Fractional positions:
Ta 0.246 0.246 0.000
Ta 0.754 0.754 0.000
Cr 0.500 0.000 0.500
P 0.000 0.500 0.500


No. 2
Computed, not measured: a relaxed structure of Ho5GaHg4 at the GGA-PBE level of DFT.

Computed properties:
total energy: -3.21 eV per atom

a = 3.675 Å, b = 3.675 Å, c = 18.422 Å
α = 90.00°, β = 90.00°, γ = 90.00°
Fractional positions:
Ho 0.000 0.000 0.000
Ho 0.000 0.000 0.203
Ho 0.000 0.000 0.407
Ho 0.000 0.000 0.593
Ho 0.000 0.000 0.797
Ga 0.500 0.500 0.500
Hg 0.500 0.500 0.102
Hg 0.500 0.500 0.305
Hg 0.500 0.500 0.695
Hg 0.500 0.500 0.898


No. 3
Computed, not measured: a relaxed structure of La4TcPb at the GGA-PBE level of DFT.

Computed properties:
total energy: -5.91 eV per atom

a = 8.301 Å, b = 8.301 Å, c = 6.477 Å
α = 100.35°, β = 100.35°, γ = 113.96°
Fractional positions:
La 0.057 0.724 0.947
La 0.205 0.356 0.620
La 0.276 0.943 0.553
La 0.356 0.205 0.120
La 0.644 0.795 0.880
La 0.724 0.057 0.447
La 0.795 0.644 0.380
La 0.943 0.276 0.053
Tc 0.002 0.998 0.250
Tc 0.998 0.002 0.750
Pb 0.376 0.624 0.250
Pb 0.624 0.376 0.750


No. 4
Computed, not measured: a relaxed structure of AlTlTc3 at the GGA-PBE level of DFT.

Computed properties:
total energy: -6.17 eV per atom

a = 4.524 Å, b = 4.524 Å, c = 4.524 Å
α = 90.00°, β = 90.00°, γ = 90.00°
Fractional positions:
Al 0.000 0.000 0.000
Tl 0.500 0.500 0.500
Tc 0.000 0.000 0.500
Tc 0.000 0.500 0.000
Tc 0.500 0.000 0.000


No. 5
Computed, not measured: a relaxed structure of HfSeI3 at the GGA-PBE level of DFT.

Computed properties:
ΔE_f (raw): -0.012 eV per atom

a = 5.657 Å, b = 5.657 Å, c = 5.657 Å
α = 90.00°, β = 90.00°, γ = 90.00°
Fractional positions:
Hf 0.000 0.000 0.000
Se 0.500 0.500 0.500
I 0.000 0.000 0.500
I 0.000 0.500 0.000
I 0.500 0.000 0.000


No. 6
Computed, not measured: a relaxed structure of V6MoOs2 at the GGA-PBE level of DFT.

Computed properties:
total energy: -9.64 eV per atom

a = 4.943 Å, b = 4.943 Å, c = 6.498 Å
α = 106.86°, β = 106.86°, γ = 59.28°
Fractional positions:
V 0.189 0.703 0.795
V 0.259 0.259 0.039
V 0.297 0.811 0.205
V 0.703 0.189 0.795
V 0.741 0.741 0.961
V 0.811 0.297 0.205
Mo 0.500 0.500 0.500
Os 0.170 0.170 0.621
Os 0.830 0.830 0.379